Sr2ZrF | PBE | relaxed

a = 7.6160 Å, b = 7.6160 Å, c = 8.6875 Å
α = 90.00°, β = 90.00°, γ = 90.00°
Closest atoms and distances in Å follow each position.
Space group I-42d (No. 122)
Symmetry-distinct sites (fractional):
Sr (0.1329, 0.2500, 0.1250) (multiplicity 8)  2 F 2.41
Zr (0.0000, 0.0000, 0.5000) (multiplicity 4)  8 Sr 3.55-3.91
F (0.0000, 0.0000, 0.0000) (multiplicity 4)  4 Sr 2.41

Values from the calculation:
* E_form (uncorrected): -0.765 eV per atom
* polymorph energy (0 for the lowest one): 0.00 eV/f.u.
* spin magnetization: 0.29 μB/atom